[1]
{
  "formula": "Mg4Mn5",
  "functional": "PBE",
  "state": "relaxed",
  "lattice": [[7.995, 0.000, 0.000], [-3.998, 6.924, 0.000], [0.000, 0.000, 5.591]],
  "species": ["Mg", "Mg", "Mg", "Mg", "Mg", "Mg", "Mg", "Mg", "Mn", "Mn", "Mn", "Mn", "Mn", "Mn", "Mn", "Mn", "Mn", "Mn"],
  "frac_coords": [[0.000, 0.000, 0.000], [0.000, 0.000, 0.500], [0.000, 0.341, 0.250], [0.000, 0.659, 0.750], [0.341, 0.000, 0.250], [0.341, 0.341, 0.750], [0.659, 0.000, 0.750], [0.659, 0.659, 0.250], [0.000, 0.335, 0.750], [0.000, 0.665, 0.250], [0.333, 0.667, 0.000], [0.333, 0.667, 0.500], [0.335, 0.000, 0.750], [0.335, 0.335, 0.250], [0.665, 0.000, 0.250], [0.665, 0.665, 0.750], [0.667, 0.333, 0.000], [0.667, 0.333, 0.500]],
  "density_g_cm3": 4.0,
  "sg": "P6_3/mcm, No. 193",
  "e_form_ev_per_atom": 0.409
}

***

[2]
{
  "formula": "Cd6SbP2",
  "functional": "PBE",
  "state": "relaxed",
  "lattice": [[7.182, -2.276, 0.000], [7.182, 2.276, 0.000], [-6.093, 0.000, 7.270]],
  "species": ["Cd", "Cd", "Cd", "Cd", "Cd", "Cd", "Sb", "P", "P"],
  "frac_coords": [[0.069, 0.069, 0.387], [0.244, 0.244, 0.109], [0.347, 0.347, 0.717], [0.653, 0.653, 0.283], [0.756, 0.756, 0.891], [0.931, 0.931, 0.613], [0.000, 0.000, 0.000], [0.157, 0.157, 0.740], [0.843, 0.843, 0.260]],
  "density_g_cm3": 6.0,
  "sg": "C2/m, No. 12",
  "formation_energy_uncorrected_mev_per_atom": 58
}